Compound: La3HoSb3
Source: the Alexandria database
Functional: GGA-PBE
Structure: optimized geometry

Cell lengths 9.5744, 9.5744, 9.5744 Å; angles 90.00, 90.00, 90.00 degrees
Closest atoms and distances in Å follow each position.
Space group P2_13 (No. 198)
Asymmetric unit:
La1 0.0661 0.4339 0.5661  6 Sb 3.24-3.41
La2 0.1759 0.8241 0.3241  6 Sb 3.21-3.46
La3 0.1781 0.1781 0.1781  6 Sb 3.20-3.49
Ho1 0.0716 0.5716 0.9284  6 Sb 3.12-3.43
Sb1 0.0025 0.2583 0.8688  2 Ho 3.12-3.43, 6 La 3.20-3.49

Computed properties:
calculated total energy = -5.612 eV/atom



Compound: SrAc8Nd2
Source: the Alexandria database
Functional: GGA-PBE
Structure: optimized geometry

Cell lengths 5.9061, 9.9668, 16.7875 Å; angles 90.00, 90.00, 90.00 degrees
Closest atoms and distances in Å follow each position.
Space group Immm (No. 71)
Asymmetric unit:
Sr1 0.0000 0.0000 0.0000  12 Ac 3.88-4.30
Ac1 0.0000 0.1864 0.5000  7 Ac 3.71-4.02, 2 Nd 3.91
Ac2 0.0000 0.2896 0.1617  3 Nd 3.66-3.69, 3 Ac 3.79-4.02, 1 Sr 3.96
Ac3 0.0000 0.5000 0.3497  8 Ac 3.79-4.13, 2 Nd 3.83, 2 Sr 3.88
Nd1 0.0000 0.0000 0.2953  10 Ac 3.66-3.91

Computed properties:
calculated total energy = -3.875 eV/atom
formation energy = 0.13 eV/atom



Compound: BaGd
Source: the Alexandria database
Functional: GGA-PBE
Structure: optimized geometry

Cell lengths 4.0789, 4.6575, 9.6729 Å; angles 90.00, 90.00, 90.00 degrees
Closest atoms and distances in Å follow each position.
Space group Pmmn (No. 59, origin choice 2)
Asymmetric unit:
Ba1 0.2500 0.2500 0.1665  5 Gd 3.96-3.98, 2 Ba 4.08
Gd1 0.2500 0.2500 0.5775  4 Gd 3.44

Computed properties:
calculated total energy = -7.851 eV/atom
formation energy = 0.15 eV/atom



Compound: YMn2Br
Source: the Alexandria database
Functional: GGA-PBE
Structure: optimized geometry

Cell lengths 6.9471, 6.9471, 6.9471 Å; angles 90.00, 90.00, 90.00 degrees
Closest atoms and distances in Å follow each position.
Space group Fm-3m (No. 225)
Asymmetric unit:
Y1 0.0000 0.0000 0.0000  8 Mn 3.01
Mn1 0.2500 0.2500 0.2500  4 Br 3.01, 4 Y 3.01
Br1 0.0000 0.0000 0.5000  8 Mn 3.01

Computed properties:
calculated total energy = -5.993 eV/atom
excess energy over the best structure of this formula in the dataset = 718.4 meV/atom



Q: Which of these has the highest calculated total energy?
A: SrAc8Nd2



Q: Among the records above, which one has the highest calculated total energy?
A: SrAc8Nd2



Q: Number 4 is which compound?
A: YMn2Br



Q: What is the calculated total energy in the second record?
A: -3.875 eV/atom